(1)
BaSrCl2 | PBE | optimized geometry

Calculated values
Size of the total moment in μB per formula unit: 0.0
E above lowest polymorph in eV per atom: 0.089
DOS(E_F) in states/eV per cell: 4.11

Unit cell a=7.7104 b=4.4673 c=8.0593 alpha=90.00 beta=108.82 gamma=90.00
Space group C2/m (No. 12)
Inequivalent atoms, fractional coordinates:
Ba 0.0000 0.0000 0.0000 [2 per cell]
Sr 0.0000 0.5000 0.5000 [2 per cell]
Cl 0.2313 0.0000 0.6933 [4 per cell]

***

(2)
BaSr2Cl | PBE | optimized geometry

Calculated values
Size of the total moment in μB per formula unit: 0.0
E above lowest polymorph in eV per atom: 0.024
DOS(E_F) in states/eV per cell: 3.54

Unit cell a=4.1350 b=4.3136 c=11.2263 alpha=90.00 beta=90.00 gamma=90.00
Space group Pmm2 (No. 25)
Inequivalent atoms, fractional coordinates:
Ba 0.0000 0.0000 0.0000 [1 per cell]
Sr 0.0000 0.0000 0.4248 [1 per cell]
Sr 0.5000 0.5000 0.7033 [1 per cell]
Cl 0.5000 0.0000 0.2240 [1 per cell]

***

(3)
BaSr2Cl | PBE | optimized geometry

Calculated values
Size of the total moment in μB per formula unit: 0.0
E above lowest polymorph in eV per atom: 0.030
DOS(E_F) in states/eV per cell: 9.13

Unit cell a=4.3573 b=7.2027 c=11.8115 alpha=90.00 beta=90.00 gamma=90.00
Space group Cmm2 (No. 35)
Inequivalent atoms, fractional coordinates:
Ba 0.0000 0.0000 0.0000 [2 per cell]
Sr 0.0000 0.0000 0.4003 [2 per cell]
Sr 0.0000 0.5000 0.6936 [2 per cell]
Cl 0.0000 0.5000 0.2158 [2 per cell]

***

(4)
BaSr2Cl | PBE | optimized geometry

Calculated values
Size of the total moment in μB per formula unit: 0.0
E above lowest polymorph in eV per atom: 0.355
DOS(E_F) in states/eV per cell: 2.87

Unit cell a=5.0824 b=5.0824 c=7.7519 alpha=90.00 beta=90.00 gamma=90.00
Space group P4/mmm (No. 123)
Inequivalent atoms, fractional coordinates:
Ba 0.0000 0.0000 0.0000 [1 per cell]
Sr 0.0000 0.5000 0.5000 [2 per cell]
Cl 0.5000 0.5000 0.0000 [1 per cell]

***

(5)
Ba2SrCl | PBE | optimized geometry

Calculated values
Size of the total moment in μB per formula unit: 0.3
E above lowest polymorph in eV per atom: 0.094
DOS(E_F) in states/eV per cell: 9.53

Unit cell a=14.6513 b=4.1311 c=7.5705 alpha=90.00 beta=120.12 gamma=90.00
Space group Cm (No. 8)
Inequivalent atoms, fractional coordinates:
Ba 0.0000 0.0000 0.0000 [2 per cell]
Ba 0.1797 0.0000 0.6778 [2 per cell]
Sr 0.3114 0.5000 0.3165 [2 per cell]
Cl 0.4815 0.0000 0.3306 [2 per cell]

***

(6)
Ba2SrCl | PBE | optimized geometry

Calculated values
Size of the total moment in μB per formula unit: 0.5
E above lowest polymorph in eV per atom: 0.051
DOS(E_F) in states/eV per cell: 5.52

Unit cell a=7.2238 b=4.3218 c=7.3186 alpha=90.00 beta=119.56 gamma=90.00
Space group Pm (No. 6)
Inequivalent atoms, fractional coordinates:
Ba 0.0000 0.0000 0.0000 [1 per cell]
Ba 0.3235 0.5000 0.6490 [1 per cell]
Sr 0.6799 0.5000 0.3628 [1 per cell]
Cl 0.5151 0.0000 0.0228 [1 per cell]

***

(7)
BaSr2Cl | PBE | optimized geometry

Calculated values
Size of the total moment in μB per formula unit: 0.0
E above lowest polymorph in eV per atom: 0.337
DOS(E_F) in states/eV per cell: 7.61

Unit cell a=7.6226 b=14.0920 c=4.2334 alpha=90.00 beta=121.79 gamma=90.00
Space group C2/m (No. 12)
Inequivalent atoms, fractional coordinates:
Ba 0.0000 0.0000 0.0000 [2 per cell]
Sr 0.2500 0.2500 0.5000 [4 per cell]
Cl 0.0000 0.5000 0.0000 [2 per cell]

***

(8)
BaSrCl2 | PBE | optimized geometry

Calculated values
Size of the total moment in μB per formula unit: 0.0
E above lowest polymorph in eV per atom: 0.063
DOS(E_F) in states/eV per cell: 3.33

Unit cell a=4.0619 b=4.0438 c=20.1806 alpha=90.00 beta=90.00 gamma=90.00
Space group Amm2 (No. 38)
Inequivalent atoms, fractional coordinates:
Ba 0.0000 0.0000 0.0000 [2 per cell]
Sr 0.5000 0.0000 0.6826 [2 per cell]
Cl 0.0000 0.0000 0.2425 [2 per cell]
Cl 0.5000 0.0000 0.4346 [2 per cell]

***

(9)
BaSrCl2 | PBE | optimized geometry

Calculated values
Size of the total moment in μB per formula unit: 0.2
E above lowest polymorph in eV per atom: 0.215
DOS(E_F) in states/eV per cell: 1.34

Unit cell a=3.9443 b=3.9443 c=10.9040 alpha=90.00 beta=90.00 gamma=90.00
Space group P4/mmm (No. 123)
Inequivalent atoms, fractional coordinates:
Ba 0.0000 0.0000 0.0000 [1 per cell]
Sr 0.0000 0.0000 0.5000 [1 per cell]
Cl 0.5000 0.5000 0.1533 [2 per cell]

***

(10)
BaSr2Cl | PBE | optimized geometry

Calculated values
Size of the total moment in μB per formula unit: 0.0
E above lowest polymorph in eV per atom: 0.104
DOS(E_F) in states/eV per cell: 3.25

Unit cell a=4.0102 b=4.0102 c=11.0721 alpha=90.00 beta=90.00 gamma=90.00
Space group P4mm (No. 99)
Inequivalent atoms, fractional coordinates:
Ba 0.0000 0.0000 0.0000 [1 per cell]
Sr 0.0000 0.0000 0.4037 [1 per cell]
Sr 0.5000 0.5000 0.6943 [1 per cell]
Cl 0.5000 0.5000 0.2181 [1 per cell]

***

(11)
BaSr2Cl | PBE | optimized geometry

Calculated values
Size of the total moment in μB per formula unit: 0.6
E above lowest polymorph in eV per atom: 0.000
DOS(E_F) in states/eV per cell: 10.89

Unit cell a=4.2413 b=4.2413 c=34.3436 alpha=90.00 beta=90.00 gamma=120.00
Space group R-3m (No. 166, hexagonal axes)
Inequivalent atoms, fractional coordinates:
Ba 0.0000 0.0000 0.0000 [3 per cell]
Sr 0.0000 0.0000 0.2296 [6 per cell]
Cl 0.0000 0.0000 0.5000 [3 per cell]

***

(12)
Ba2SrCl | PBE | optimized geometry

Calculated values
Size of the total moment in μB per formula unit: 0.3
E above lowest polymorph in eV per atom: 0.000
DOS(E_F) in states/eV per cell: 12.83

Unit cell a=4.3838 b=4.3838 c=34.8799 alpha=90.00 beta=90.00 gamma=120.00
Space group R-3m (No. 166, hexagonal axes)
Inequivalent atoms, fractional coordinates:
Ba 0.0000 0.0000 0.2301 [6 per cell]
Sr 0.0000 0.0000 0.0000 [3 per cell]
Cl 0.0000 0.0000 0.5000 [3 per cell]

***

(13)
Ba2SrCl | PBE | optimized geometry

Calculated values
Size of the total moment in μB per formula unit: 0.0
E above lowest polymorph in eV per atom: 0.047
DOS(E_F) in states/eV per cell: 9.78

Unit cell a=4.4809 b=7.3317 c=12.0110 alpha=90.00 beta=90.00 gamma=90.00
Space group Cmmm (No. 65)
Inequivalent atoms, fractional coordinates:
Ba 0.0000 0.0000 0.1996 [4 per cell]
Sr 0.0000 0.5000 0.5000 [2 per cell]
Cl 0.0000 0.5000 0.0000 [2 per cell]

***

(14)
Ba2SrCl | PBE | optimized geometry

Calculated values
Size of the total moment in μB per formula unit: 0.1
E above lowest polymorph in eV per atom: 0.049
DOS(E_F) in states/eV per cell: 5.31

Unit cell a=4.2317 b=4.3961 c=11.4867 alpha=90.00 beta=90.00 gamma=90.00
Space group Pmmm (No. 47)
Inequivalent atoms, fractional coordinates:
Ba 0.0000 0.0000 0.2121 [2 per cell]
Sr 0.5000 0.5000 0.5000 [1 per cell]
Cl 0.5000 0.0000 0.0000 [1 per cell]

***

(15)
Ba2SrCl | PBE | optimized geometry

Calculated values
Size of the total moment in μB per formula unit: 0.9
E above lowest polymorph in eV per atom: 0.094
DOS(E_F) in states/eV per cell: 5.12

Unit cell a=4.4271 b=4.4271 c=11.0922 alpha=90.00 beta=90.00 gamma=90.00
Space group P4mm (No. 99)
Inequivalent atoms, fractional coordinates:
Ba 0.0000 0.0000 0.0000 [1 per cell]
Ba 0.5000 0.5000 0.3099 [1 per cell]
Sr 0.5000 0.5000 0.7182 [1 per cell]
Cl 0.0000 0.0000 0.3074 [1 per cell]

***

(16)
BaSr3Cl | PBE | optimized geometry

Calculated values
Size of the total moment in μB per formula unit: 0.0
E above lowest polymorph in eV per atom: 0.000
DOS(E_F) in states/eV per cell: 5.65

Unit cell a=6.2810 b=6.2810 c=6.2810 alpha=90.00 beta=90.00 gamma=90.00
Space group Pm-3m (No. 221)
Inequivalent atoms, fractional coordinates:
Ba 0.0000 0.0000 0.0000 [1 per cell]
Sr 0.0000 0.5000 0.5000 [3 per cell]
Cl 0.5000 0.5000 0.5000 [1 per cell]

***

(17)
Ba2SrCl | PBE | optimized geometry

Calculated values
Size of the total moment in μB per formula unit: 0.0
E above lowest polymorph in eV per atom: 0.134
DOS(E_F) in states/eV per cell: 31.23

Unit cell a=9.9986 b=9.9986 c=8.8399 alpha=90.00 beta=90.00 gamma=90.00
Space group I-42d (No. 122)
Inequivalent atoms, fractional coordinates:
Ba 0.1473 0.2500 0.1250 [8 per cell]
Sr 0.0000 0.0000 0.5000 [4 per cell]
Cl 0.0000 0.0000 0.0000 [4 per cell]

***

(18)
Ba3SrCl | PBE | optimized geometry

Calculated values
Size of the total moment in μB per formula unit: 0.0
E above lowest polymorph in eV per atom: 0.000
DOS(E_F) in states/eV per cell: 8.59

Unit cell a=6.3945 b=6.3945 c=6.3945 alpha=90.00 beta=90.00 gamma=90.00
Space group Pm-3m (No. 221)
Inequivalent atoms, fractional coordinates:
Ba 0.0000 0.0000 0.5000 [3 per cell]
Sr 0.5000 0.5000 0.5000 [1 per cell]
Cl 0.0000 0.0000 0.0000 [1 per cell]

***

(19)
BaSrCl2 | PBE | optimized geometry

Calculated values
Size of the total moment in μB per formula unit: 0.7
E above lowest polymorph in eV per atom: 0.162
DOS(E_F) in states/eV per cell: 2.37

Unit cell a=4.0456 b=4.7817 c=8.0267 alpha=90.00 beta=90.00 gamma=90.00
Space group Pmmm (No. 47)
Inequivalent atoms, fractional coordinates:
Ba 0.0000 0.0000 0.0000 [1 per cell]
Sr 0.5000 0.0000 0.5000 [1 per cell]
Cl 0.0000 0.5000 0.5000 [1 per cell]
Cl 0.5000 0.5000 0.0000 [1 per cell]

***

(20)
BaSr2Cl | PBE | optimized geometry

Calculated values
Size of the total moment in μB per formula unit: 0.0
E above lowest polymorph in eV per atom: 0.126
DOS(E_F) in states/eV per cell: 3.84

Unit cell a=3.9996 b=3.9996 c=11.1167 alpha=90.00 beta=90.00 gamma=90.00
Space group P4/mmm (No. 123)
Inequivalent atoms, fractional coordinates:
Ba 0.0000 0.0000 0.0000 [1 per cell]
Sr 0.5000 0.5000 0.3008 [2 per cell]
Cl 0.0000 0.0000 0.5000 [1 per cell]